DyHPt: optimized geometry, PBE-GGA.

Results
As for the magnetization: 0.00 μB/f.u. The calculation puts the density of states at the Fermi level at 0.3275 states/eV per atom. For the volume, the calculation gives 48.2 Å³/cell. As for the electronic total energy: -15.9 eV for the cell shown.

abc: 3.5692 3.9505 3.9505
angles: 120.00 90.00 90.00
With the nearest neighbours (Å) after each atom.
Fractional positions:
H 0.1649 0.6667 0.3333  3 Pt 2.28
Pt 0.1674 0.0000 0.0000  3 H 2.28
Dy 0.6677 0.3333 0.6667  6 H 2.89-2.90, 6 Pt 2.90